No. 1
Tb2Sc3Co2 | PBE | relaxed

Cell: 11.4805 3.4817 8.4940 Å, 90.00 116.67 90.00°
With the nearest neighbours (Å) after each atom.
Space group C2/m (No. 12)
Symmetry-distinct sites (fractional):
Tb: 0.1627 0.0000 0.2987 x4  2 Co 2.73
Sc: 0.0000 0.5000 0.5000 x2  4 Co 2.71
Sc: 0.1226 0.5000 0.9285 x4  3 Co 2.58-2.77
Co: 0.1679 0.0000 0.7379 x4  5 Sc 2.58-2.77, 2 Tb 2.73

Properties
ΔE to the lowest computed polymorph: 0.000 eV/f.u.
crystal system: monoclinic
ΔE_f: -0.201 eV per atom

No. 2
LaRuF2 | PBE | relaxed

Cell: 4.1234 4.1234 15.9628 Å, 90.00 90.00 90.00°
With the nearest neighbours (Å) after each atom.
Space group I-42d (No. 122)
Symmetry-distinct sites (fractional):
La: 0.0000 0.0000 0.0000 x4  4 F 2.51
Ru: 0.0000 0.0000 0.5000 x4  4 F 2.44
F: 0.2296 0.2500 0.6250 x8  2 Ru 2.44, 2 La 2.51

Properties
ΔE to the lowest computed polymorph: 0.000 eV/f.u.
crystal system: tetragonal
energy relative to the elements, uncorrected: -1610 meV/atom

No. 3
ZrTlRe | PBE | relaxed

Cell: 6.5398 6.5398 6.5398 Å, 90.00 90.00 90.00°
With the nearest neighbours (Å) after each atom.
Space group F-43m (No. 216)
Symmetry-distinct sites (fractional):
Zr: 0.0000 0.0000 0.0000 x4  4 Re 2.83
Tl: 0.0000 0.0000 0.5000 x4  4 Re 2.83
Re: 0.2500 0.2500 0.7500 x4  4 Zr 2.83, 4 Tl 2.83

Properties
ΔE to the lowest computed polymorph: 1.371 eV/f.u.
crystal system: cubic
ΔE_f: 0.673 eV per atom

No. 4
AlTeW2 | PBE | relaxed

Cell: 3.2725 4.8193 9.5804 Å, 90.00 90.00 90.00°
With the nearest neighbours (Å) after each atom.
Space group Cmm2 (No. 35)
Symmetry-distinct sites (fractional):
Al: 0.0000 0.0000 0.0000 x2  2 W 2.70, 4 Al 2.91
Te: 0.0000 0.5000 0.3024 x2  4 Te 2.91, 2 W 2.96
W: 0.0000 0.0000 0.5600 x2  6 W 2.64-2.91
W: 0.0000 0.5000 0.7760 x2  6 W 2.64-2.91, 2 Al 2.70

Properties
ΔE to the lowest computed polymorph: 0.753 eV/f.u.
crystal system: orthorhombic
energy relative to the elements, uncorrected: 480 meV/atom

No. 5
TmLu2Te | PBE | relaxed

Cell: 3.7642 3.7642 29.2737 Å, 90.00 90.00 120.00°
With the nearest neighbours (Å) after each atom.
Space group R-3m (No. 166, hexagonal axes)
Symmetry-distinct sites (fractional):
Tm: 0.0000 0.0000 0.0000 x3  6 Lu 3.50, 6 Tm 3.76
Lu: 0.0000 0.0000 0.2397 x6  3 Te 3.05
Te: 0.0000 0.0000 0.5000 x3  6 Lu 3.05

Properties
ΔE to the lowest computed polymorph: 0.160 eV/f.u.
crystal system: trigonal
energy relative to the elements, uncorrected: -465 meV/atom

No. 6
CaLa8Er3 | PBE | relaxed

Cell: 8.7577 8.7577 12.6125 Å, 90.00 90.00 90.00°
With the nearest neighbours (Å) after each atom.
Space group I-42m (No. 121)
Symmetry-distinct sites (fractional):
Ca: 0.0000 0.0000 0.0000 x2  4 La 3.38
La: 0.1512 0.1512 0.7199 x8  1 La 3.18, 3 Er 3.35
La: 0.2328 0.2328 0.4447 x8  1 Er 2.97, 1 La 3.18
Er: 0.0000 0.0000 0.5000 x2  4 La 2.97
Er: 0.0000 0.5000 0.2500 x4  4 La 3.35

Properties
crystal system: tetragonal
ΔE_f: 0.539 eV per atom